# 1
# Tl2PbO | the Alexandria database | PBE | relaxed
# uncorrected formation energy = 0.229 eV/atom
# ΔE to the lowest computed polymorph = 411.8 meV/atom
# E_tot = -3.12 eV per atom
data_Tl2PbO
_cell_length_a 7.324
_cell_length_b 7.324
_cell_length_c 7.324
_cell_angle_alpha 90.00
_cell_angle_beta 90.00
_cell_angle_gamma 90.00
_space_group_name_H-M_alt 'P 1'
_space_group_IT_number 1
loop_
_space_group_symop_operation_xyz
'x,y,z'
loop_
_atom_site_label
_atom_site_fract_x
_atom_site_fract_y
_atom_site_fract_z
Tl1 0.250 0.250 0.250
Tl2 0.250 0.250 0.750
Tl3 0.250 0.750 0.250
Tl4 0.250 0.750 0.750
Tl5 0.750 0.250 0.250
Tl6 0.750 0.250 0.750
Tl7 0.750 0.750 0.250
Tl8 0.750 0.750 0.750
Pb1 0.000 0.000 0.000
Pb2 0.000 0.500 0.500
Pb3 0.500 0.000 0.500
Pb4 0.500 0.500 0.000
O1 0.000 0.000 0.500
O2 0.000 0.500 0.000
O3 0.500 0.000 0.000
O4 0.500 0.500 0.500

---

# 2
# TlPb3O3 | the Alexandria database | PBE | relaxed
# uncorrected formation energy = -0.785 eV/atom
# E_tot = -4.84 eV per atom
data_TlPb3O3
_cell_length_a 9.708
_cell_length_b 9.708
_cell_length_c 9.708
_cell_angle_alpha 42.56
_cell_angle_beta 42.56
_cell_angle_gamma 42.56
_space_group_name_H-M_alt 'P 1'
_space_group_IT_number 1
loop_
_space_group_symop_operation_xyz
'x,y,z'
loop_
_atom_site_label
_atom_site_fract_x
_atom_site_fract_y
_atom_site_fract_z
Tl1 0.166 0.166 0.166
Tl2 0.834 0.834 0.834
Pb1 0.070 0.698 0.394
Pb2 0.302 0.606 0.930
Pb3 0.394 0.070 0.698
Pb4 0.606 0.930 0.302
Pb5 0.698 0.394 0.070
Pb6 0.930 0.302 0.606
O1 0.035 0.597 0.276
O2 0.276 0.035 0.597
O3 0.403 0.724 0.965
O4 0.597 0.276 0.035
O5 0.724 0.965 0.403
O6 0.965 0.403 0.724

---

# 3
# Tl2Pb2O5 | the Alexandria database | PBE | relaxed
# uncorrected formation energy = -0.782 eV/atom
# E_tot = -4.89 eV per atom
data_Tl2Pb2O5
_cell_length_a 9.362
_cell_length_b 9.362
_cell_length_c 9.362
_cell_angle_alpha 57.30
_cell_angle_beta 138.95
_cell_angle_gamma 141.82
_space_group_name_H-M_alt 'P 1'
_space_group_IT_number 1
loop_
_space_group_symop_operation_xyz
'x,y,z'
loop_
_atom_site_label
_atom_site_fract_x
_atom_site_fract_y
_atom_site_fract_z
Tl1 0.000 0.000 0.000
Tl2 0.000 0.500 0.500
Tl3 0.046 0.222 0.324
Tl4 0.899 0.722 0.676
Pb1 0.421 0.574 0.067
Pb2 0.421 0.854 0.347
Pb3 0.507 0.074 0.653
Pb4 0.507 0.354 0.933
O1 0.009 0.229 0.059
O2 0.009 0.450 0.280
O3 0.107 0.308 0.779
O4 0.107 0.828 0.300
O5 0.170 0.729 0.720
O6 0.170 0.950 0.941
O7 0.500 0.367 0.632
O8 0.529 0.328 0.221
O9 0.529 0.808 0.700
O10 0.735 0.867 0.368

---

# 4
# Tl2PbO4 | the Alexandria database | PBE | relaxed
# uncorrected formation energy = -0.804 eV/atom
# ΔE to the lowest computed polymorph = 0.0 meV/atom
# E_tot = -4.84 eV per atom
data_Tl2PbO4
_cell_length_a 6.999
_cell_length_b 6.999
_cell_length_c 6.999
_cell_angle_alpha 119.97
_cell_angle_beta 119.97
_cell_angle_gamma 90.04
_space_group_name_H-M_alt 'P 1'
_space_group_IT_number 1
loop_
_space_group_symop_operation_xyz
'x,y,z'
loop_
_atom_site_label
_atom_site_fract_x
_atom_site_fract_y
_atom_site_fract_z
Tl1 0.000 0.000 0.000
Tl2 0.000 0.000 0.500
Tl3 0.000 0.500 0.000
Tl4 0.500 0.000 0.500
Pb1 0.375 0.625 0.750
Pb2 0.625 0.375 0.250
O1 0.205 0.235 0.970
O2 0.235 0.205 0.470
O3 0.235 0.765 0.030
O4 0.235 0.765 0.470
O5 0.765 0.235 0.530
O6 0.765 0.235 0.970
O7 0.765 0.795 0.530
O8 0.795 0.765 0.030

---

# 5
# TlPbO2 | the Alexandria database | PBE | relaxed
# uncorrected formation energy = -0.747 eV/atom
# ΔE to the lowest computed polymorph = 0.0 meV/atom
# E_tot = -4.74 eV per atom
data_TlPbO2
_cell_length_a 6.133
_cell_length_b 6.268
_cell_length_c 6.605
_cell_angle_alpha 70.41
_cell_angle_beta 83.55
_cell_angle_gamma 63.85
_space_group_name_H-M_alt 'P 1'
_space_group_IT_number 1
loop_
_space_group_symop_operation_xyz
'x,y,z'
loop_
_atom_site_label
_atom_site_fract_x
_atom_site_fract_y
_atom_site_fract_z
Tl1 0.000 0.000 0.000
Tl2 0.281 0.455 0.649
Pb1 0.640 0.684 0.948
Pb2 0.968 0.129 0.496
O1 0.055 0.834 0.333
O2 0.277 0.866 0.758
O3 0.764 0.981 0.776
O4 0.906 0.393 0.812

---

# 6
# Tl3Pb4O8 | the Alexandria database | PBE | relaxed
# uncorrected formation energy = -0.754 eV/atom
# E_tot = -4.86 eV per atom
data_Tl3Pb4O8
_cell_length_a 7.364
_cell_length_b 7.364
_cell_length_c 7.034
_cell_angle_alpha 118.36
_cell_angle_beta 118.36
_cell_angle_gamma 90.70
_space_group_name_H-M_alt 'P 1'
_space_group_IT_number 1
loop_
_space_group_symop_operation_xyz
'x,y,z'
loop_
_atom_site_label
_atom_site_fract_x
_atom_site_fract_y
_atom_site_fract_z
Tl1 0.000 0.000 0.000
Tl2 0.000 0.500 0.000
Tl3 0.500 0.000 0.000
Pb1 0.000 0.500 0.500
Pb2 0.500 0.000 0.500
Pb3 0.500 0.500 0.000
Pb4 0.500 0.500 0.500
O1 0.286 0.714 0.000
O2 0.290 0.710 0.500
O3 0.301 0.301 0.548
O4 0.309 0.309 0.061
O5 0.691 0.691 0.939
O6 0.699 0.699 0.452
O7 0.710 0.290 0.500
O8 0.714 0.286 0.000

---

# 7
# Tl2PbO3 | the Alexandria database | PBE | relaxed
# uncorrected formation energy = -0.632 eV/atom
# E_tot = -4.52 eV per atom
data_Tl2PbO3
_cell_length_a 6.416
_cell_length_b 6.416
_cell_length_c 6.337
_cell_angle_alpha 99.81
_cell_angle_beta 99.81
_cell_angle_gamma 120.11
_space_group_name_H-M_alt 'P 1'
_space_group_IT_number 1
loop_
_space_group_symop_operation_xyz
'x,y,z'
loop_
_atom_site_label
_atom_site_fract_x
_atom_site_fract_y
_atom_site_fract_z
Tl1 0.087 0.913 0.750
Tl2 0.241 0.759 0.250
Tl3 0.759 0.241 0.750
Tl4 0.913 0.087 0.250
Pb1 0.418 0.582 0.750
Pb2 0.582 0.418 0.250
O1 0.000 0.500 0.500
O2 0.164 0.281 0.981
O3 0.281 0.164 0.481
O4 0.500 0.000 0.000
O5 0.719 0.836 0.519
O6 0.836 0.719 0.019

---

# 8
# Tl5Pb3O12 | the Alexandria database | PBE | relaxed
# uncorrected formation energy = -0.658 eV/atom
# E_tot = -4.78 eV per atom
data_Tl5Pb3O12
_cell_length_a 11.906
_cell_length_b 11.906
_cell_length_c 11.906
_cell_angle_alpha 109.47
_cell_angle_beta 109.47
_cell_angle_gamma 109.47
_space_group_name_H-M_alt 'P 1'
_space_group_IT_number 1
loop_
_space_group_symop_operation_xyz
'x,y,z'
loop_
_atom_site_label
_atom_site_fract_x
_atom_site_fract_y
_atom_site_fract_z
Tl1 0.000 0.000 0.000
Tl2 0.000 0.000 0.500
Tl3 0.000 0.500 0.000
Tl4 0.000 0.500 0.500
Tl5 0.125 0.750 0.875
Tl6 0.125 0.875 0.250
Tl7 0.250 0.125 0.875
Tl8 0.250 0.625 0.375
Tl9 0.375 0.250 0.625
Tl10 0.375 0.625 0.750
Tl11 0.500 0.000 0.000
Tl12 0.500 0.000 0.500
Tl13 0.500 0.500 0.000
Tl14 0.500 0.500 0.500
Tl15 0.625 0.375 0.250
Tl16 0.625 0.750 0.375
Tl17 0.750 0.375 0.625
Tl18 0.750 0.875 0.125
Tl19 0.875 0.125 0.750
Tl20 0.875 0.250 0.125
Pb1 0.125 0.250 0.375
Pb2 0.125 0.375 0.750
Pb3 0.250 0.375 0.125
Pb4 0.250 0.875 0.625
Pb5 0.375 0.125 0.250
Pb6 0.375 0.750 0.125
Pb7 0.625 0.250 0.875
Pb8 0.625 0.875 0.750
Pb9 0.750 0.125 0.375
Pb10 0.750 0.625 0.875
Pb11 0.875 0.625 0.250
Pb12 0.875 0.750 0.625
O1 0.045 0.216 0.138
O2 0.045 0.329 0.907
O3 0.078 0.716 0.671
O4 0.078 0.862 0.407
O5 0.093 0.638 0.422
O6 0.093 0.955 0.671
O7 0.138 0.045 0.216
O8 0.138 0.593 0.922
O9 0.171 0.216 0.578
O10 0.171 0.455 0.593
O11 0.216 0.138 0.045
O12 0.216 0.578 0.171
O13 0.284 0.329 0.922
O14 0.284 0.455 0.362
O15 0.329 0.907 0.045
O16 0.329 0.922 0.284
O17 0.362 0.284 0.455
O18 0.362 0.578 0.907
O19 0.407 0.078 0.862
O20 0.407 0.829 0.545
O21 0.422 0.093 0.638
O22 0.422 0.829 0.784
O23 0.455 0.362 0.284
O24 0.455 0.593 0.171
O25 0.545 0.407 0.829
O26 0.545 0.638 0.716
O27 0.578 0.171 0.216
O28 0.578 0.907 0.362
O29 0.593 0.171 0.455
O30 0.593 0.922 0.138
O31 0.638 0.422 0.093
O32 0.638 0.716 0.545
O33 0.671 0.078 0.716
O34 0.671 0.093 0.955
O35 0.716 0.545 0.638
O36 0.716 0.671 0.078
O37 0.784 0.422 0.829
O38 0.784 0.862 0.955
O39 0.829 0.545 0.407
O40 0.829 0.784 0.422
O41 0.862 0.407 0.078
O42 0.862 0.955 0.784
O43 0.907 0.045 0.329
O44 0.907 0.362 0.578
O45 0.922 0.138 0.593
O46 0.922 0.284 0.329
O47 0.955 0.671 0.093
O48 0.955 0.784 0.862